Record 1
The following is a DFT calculation (PBE) of crystalline Zr2PSe at its relaxed geometry.

a b c (Å): 3.6702 3.6702 25.3870
angles (deg): 90.00 90.00 120.00
Space group R3m (No. 160, hexagonal axes)
Inequivalent atoms, fractional coordinates:
Zr  0.0000  0.0000  0.0000
Zr  0.0000  0.0000  0.2344
P  0.0000  0.0000  0.5143
Se  0.0000  0.0000  0.7300

The value obtained for the total energy is -0.257 hartree per atom. The value obtained for the volume is 24.68 Å³/atom. For the uncorrected formation energy, the calculation gives -0.493 eV per atom. The distance to the lowest polymorph of the same formula comes out at 0.844 eV per atom. As for the density: 4.92 g cm⁻³. The total magnetization is 0.00 Bohr magnetons per cell.

***

Record 2
The following is a DFT calculation (PBE) of crystalline Er12Sc5Pb2 at its relaxed geometry.

a b c (Å): 14.614 9.284 8.125
angles (deg): 90.00 91.12 90.00
Space group C2/m (No. 12)
Inequivalent atoms, fractional coordinates:
Er  0.053  0.000  0.319
Er  0.088  0.500  0.877
Er  0.124  0.202  0.645
Er  0.153  0.316  0.234
Sc  0.000  0.500  0.500
Sc  0.184  0.000  0.003
Sc  0.236  0.500  0.581
Pb  0.000  0.192  0.000

The value obtained for the total energy is -0.181 hartree per atom. The value obtained for the volume is 29.00 Å³/atom. As for the density: 7.97 g cm⁻³. The total magnetization is 0.00 Bohr magnetons per cell. The energy relative to the elements is 0.0001 eV per atom.

***

Record 3
The following is a DFT calculation (PBE) of crystalline ScTe2AuN at its relaxed geometry.

a b c (Å): 5.589 5.589 3.937
angles (deg): 90.00 90.00 90.00
Space group P4/mmm (No. 123)
Inequivalent atoms, fractional coordinates:
Sc  0.000  0.000  0.000
Te  0.000  0.500  0.500
Au  0.500  0.500  0.500
N  0.500  0.500  0.000

The value obtained for the total energy is -0.159 hartree per atom. The value obtained for the volume is 24.60 Å³/atom. For the uncorrected formation energy, the calculation gives 0.506 eV per atom. The distance to the lowest polymorph of the same formula comes out at 0.180 eV per atom. As for the density: 6.90 g cm⁻³. The total magnetization is 1.77 Bohr magnetons per cell.

***

Record 4
The following is a DFT calculation (PBE) of crystalline Dy7Tl2Ga2 at its relaxed geometry.

a b c (Å): 7.517 10.887 7.943
angles (deg): 90.00 90.00 90.00
Space group Cmmm (No. 65)
Inequivalent atoms, fractional coordinates:
Dy  0.000  0.000  0.000
Dy  0.000  0.500  0.283
Dy  0.250  0.250  0.298
Tl  0.000  0.300  0.000
Ga  0.169  0.000  0.500

The value obtained for the total energy is -0.146 hartree per atom. The value obtained for the volume is 29.55 Å³/atom. As for the density: 8.61 g cm⁻³. The total magnetization is 0.00 Bohr magnetons per cell. The energy relative to the elements is -0.0604 eV per atom.

***

Record 5
The following is a DFT calculation (PBE) of crystalline NdErSe2Cl at its relaxed geometry.

a b c (Å): 4.158 4.158 14.069
angles (deg): 90.00 90.00 90.00
Space group P4/nmm (No. 129, origin choice 2)
Inequivalent atoms, fractional coordinates:
Nd  0.250  0.250  0.147
Er  0.250  0.250  0.590
Se  0.250  0.250  0.385
Se  0.250  0.250  0.793
Cl  0.250  0.750  0.000

The value obtained for the total energy is -0.201 hartree per atom. The value obtained for the volume is 24.32 Å³/atom. For the uncorrected formation energy, the calculation gives -1.853 eV per atom. As for the density: 6.89 g cm⁻³. The total magnetization is 0.00 Bohr magnetons per cell.

***

Record 6
The following is a DFT calculation (PBE) of crystalline Li2CdOs at its relaxed geometry.

a b c (Å): 9.492 2.585 5.140
angles (deg): 90.00 95.20 90.00
Space group Cm (No. 8)
Inequivalent atoms, fractional coordinates:
Li  0.000  0.000  0.000
Li  0.242  0.000  0.740
Cd  0.249  0.500  0.258
Os  0.496  0.000  0.514

The value obtained for the total energy is -0.138 hartree per atom. The value obtained for the volume is 15.70 Å³/atom. As for the density: 8.37 g cm⁻³. The total magnetization is 0.00 Bohr magnetons per cell. The energy relative to the elements is 0.2382 eV per atom.

***

Record 7
The following is a DFT calculation (PBE) of crystalline AlTlW at its relaxed geometry.

a b c (Å): 2.898 2.898 13.807
angles (deg): 90.00 90.00 90.00
Space group I4mm (No. 107)
Inequivalent atoms, fractional coordinates:
Al  0.000  0.000  0.000
Tl  0.000  0.000  0.690
W  0.000  0.000  0.367

The value obtained for the total energy is -0.209 hartree per atom. The value obtained for the volume is 19.32 Å³/atom. The distance to the lowest polymorph of the same formula comes out at 0.082 eV per atom. As for the density: 11.90 g cm⁻³. The total magnetization is 0.00 Bohr magnetons per cell. The energy relative to the elements is 0.6559 eV per atom.

***

Record 8
The following is a DFT calculation (PBE) of crystalline LiTbEuIr at its relaxed geometry.

a b c (Å): 7.066 7.066 7.066
angles (deg): 90.00 90.00 90.00
Space group F-43m (No. 216)
Inequivalent atoms, fractional coordinates:
Li  0.000  0.000  0.000
Tb  0.250  0.250  0.250
Eu  0.250  0.250  0.750
Ir  0.000  0.000  0.500

The value obtained for the total energy is -0.250 hartree per atom. The value obtained for the volume is 22.05 Å³/atom. As for the density: 9.60 g cm⁻³. The total magnetization is 28.21 Bohr magnetons per cell. The energy relative to the elements is -0.3839 eV per atom.

***

Record 9
The following is a DFT calculation (PBE) of crystalline LaNd2Er5Sc at its relaxed geometry.

a b c (Å): 8.664 8.664 15.325
angles (deg): 90.00 90.00 90.00
Space group I4/mcm (No. 140)
Inequivalent atoms, fractional coordinates:
La  0.000  0.000  0.250
Nd  0.119  0.381  0.000
Er  0.000  0.000  0.000
Er  0.205  0.295  0.361
Sc  0.000  0.500  0.250

The value obtained for the total energy is -0.168 hartree per atom. The value obtained for the volume is 31.96 Å³/atom. As for the density: 7.56 g cm⁻³. The total magnetization is 0.00 Bohr magnetons per cell. The energy relative to the elements is 0.2671 eV per atom.

***

Record 10
The following is a DFT calculation (PBE) of crystalline Nd4Hg3Pd at its relaxed geometry.

a b c (Å): 3.782 3.782 15.153
angles (deg): 90.00 90.00 90.00
Space group P4/mmm (No. 123)
Inequivalent atoms, fractional coordinates:
Nd  0.000  0.000  0.112
Nd  0.000  0.000  0.371
Hg  0.500  0.500  0.244
Hg  0.500  0.500  0.500
Pd  0.500  0.500  0.000

The value obtained for the total energy is -0.135 hartree per atom. The value obtained for the volume is 27.09 Å³/atom. As for the density: 9.85 g cm⁻³. The total magnetization is 0.41 Bohr magnetons per cell. The energy relative to the elements is -0.5376 eV per atom.

***

Record 11
The following is a DFT calculation (PBE) of crystalline LaAl2Ni at its relaxed geometry.

a b c (Å): 4.947 4.947 15.780
angles (deg): 90.00 90.00 90.00
Space group I4_1/amd (No. 141, origin choice 2)
Inequivalent atoms, fractional coordinates:
La  0.000  0.250  0.375
Al  0.000  0.000  0.000
Ni  0.000  0.250  0.875

The value obtained for the total energy is -0.173 hartree per atom. The value obtained for the volume is 24.14 Å³/atom. As for the density: 4.33 g cm⁻³. The total magnetization is 0.00 Bohr magnetons per cell. The energy relative to the elements is -0.1662 eV per atom.

***

Record 12
The following is a DFT calculation (PBE) of crystalline ScTcSnIr at its relaxed geometry.

a b c (Å): 6.467 6.467 6.467
angles (deg): 90.00 90.00 90.00
Space group F-43m (No. 216)
Inequivalent atoms, fractional coordinates:
Sc  0.000  0.000  0.000
Tc  0.250  0.250  0.750
Sn  0.000  0.000  0.500
Ir  0.250  0.250  0.250

The value obtained for the total energy is -0.288 hartree per atom. The value obtained for the volume is 16.90 Å³/atom. As for the density: 11.15 g cm⁻³. The total magnetization is 0.00 Bohr magnetons per cell. The energy relative to the elements is -0.4331 eV per atom.